Crystalline KSn2Pb2 at its relaxed geometry, computed with PBE-GGA.

Space group: No. 127
Offset from the most stable computed form: 46 meV/atom
Density: 7.0 Mg/m³
Energy of formation: -0.057 eV/atom

a = 9.5382 Å, b = 9.5382 Å, c = 3.6202 Å
α = 90.00°, β = 90.00°, γ = 90.00°
Sites, in units of the cell vectors:
K  0.0000  0.0000  0.0000
K  0.5000  0.5000  0.0000
Sn  0.1582  0.3418  0.5000
Sn  0.3418  0.8418  0.5000
Sn  0.6582  0.1582  0.5000
Sn  0.8418  0.6582  0.5000
Pb  0.1342  0.6342  0.0000
Pb  0.3658  0.1342  0.0000
Pb  0.6342  0.8658  0.0000
Pb  0.8658  0.3658  0.0000